Record 1
# PBE-GGA MgSc2Co, relaxed
data_MgSc2Co
_cell_length_a 6.598
_cell_length_b 6.598
_cell_length_c 6.598
_cell_angle_alpha 90.00
_cell_angle_beta 90.00
_cell_angle_gamma 90.00
_space_group_name_H-M_alt 'F -4 3 m'
_space_group_IT_number 216
_space_group_name_Hall 'F -4 2 3'
loop_
_atom_site_label
_atom_site_fract_x
_atom_site_fract_y
_atom_site_fract_z
Mg1 0.000 0.000 0.000
Sc1 0.000 0.000 0.500
Sc2 0.250 0.250 0.250
Co1 0.250 0.250 0.750
# - Calculated formation energy: 0.07 eV/atom
# - Total energy: -5.2731 eV per atom
# - Calculated volume: 18.0 Å³/atom

Record 2
# PBE-GGA BaHo2Sc, relaxed
data_BaHo2Sc
_cell_length_a 3.891
_cell_length_b 3.891
_cell_length_c 9.463
_cell_angle_alpha 90.00
_cell_angle_beta 90.00
_cell_angle_gamma 90.00
_space_group_name_H-M_alt 'P 4/m m m'
_space_group_IT_number 123
_space_group_name_Hall '-P 4 2'
loop_
_atom_site_label
_atom_site_fract_x
_atom_site_fract_y
_atom_site_fract_z
Ba1 0.000 0.000 0.000
Ho1 0.500 0.500 0.314
Sc1 0.000 0.000 0.500
# - Calculated formation energy: 0.16 eV/atom
# - Total energy: -4.1906 eV per atom
# - Offset from the most stable computed form: 0.0 meV/atom
# - Calculated volume: 35.8 Å³/atom

Record 3
# PBE-GGA Th5Ge4Sb, relaxed
data_Th5Ge4Sb
_cell_length_a 4.338
_cell_length_b 6.157
_cell_length_c 21.778
_cell_angle_alpha 90.00
_cell_angle_beta 90.00
_cell_angle_gamma 90.00
_space_group_name_H-M_alt 'I m m m'
_space_group_IT_number 71
_space_group_name_Hall '-I 2 2'
loop_
_atom_site_label
_atom_site_fract_x
_atom_site_fract_y
_atom_site_fract_z
Th1 0.000 0.000 0.000
Th2 0.000 0.000 0.199
Th3 0.000 0.000 0.392
Ge1 0.000 0.500 0.202
Ge2 0.000 0.500 0.401
Sb1 0.000 0.500 0.000
# - Total energy: -6.7769 eV per atom
# - Calculated volume: 29.1 Å³/atom

Record 4
# PBE-GGA ErPuZnCu, relaxed
data_ErPuZnCu
_cell_length_a 7.022
_cell_length_b 7.022
_cell_length_c 7.022
_cell_angle_alpha 90.00
_cell_angle_beta 90.00
_cell_angle_gamma 90.00
_space_group_name_H-M_alt 'F -4 3 m'
_space_group_IT_number 216
_space_group_name_Hall 'F -4 2 3'
loop_
_atom_site_label
_atom_site_fract_x
_atom_site_fract_y
_atom_site_fract_z
Er1 0.000 0.000 0.000
Pu1 0.000 0.000 0.500
Zn1 0.250 0.250 0.750
Cu1 0.250 0.250 0.250
# - Calculated formation energy: -0.09 eV/atom
# - Total energy: -6.1563 eV per atom
# - Calculated volume: 21.6 Å³/atom

Record 5
# PBE-GGA Sm4Te4I3, relaxed
data_Sm4Te4I3
_cell_length_a 4.426
_cell_length_b 8.797
_cell_length_c 19.078
_cell_angle_alpha 90.00
_cell_angle_beta 90.00
_cell_angle_gamma 90.00
_space_group_name_H-M_alt 'I m m m'
_space_group_IT_number 71
_space_group_name_Hall '-I 2 2'
loop_
_atom_site_label
_atom_site_fract_x
_atom_site_fract_y
_atom_site_fract_z
Sm1 0.000 0.000 0.229
Sm2 0.000 0.210 0.500
Te1 0.000 0.286 0.335
I1 0.000 0.000 0.000
I2 0.000 0.500 0.088
# - Total energy: -4.5017 eV per atom
# - Calculated volume: 33.8 Å³/atom

Record 6
# PBE-GGA LiCrAu, relaxed
data_LiCrAu
_cell_length_a 7.166
_cell_length_b 2.817
_cell_length_c 8.817
_cell_angle_alpha 90.00
_cell_angle_beta 90.00
_cell_angle_gamma 90.00
_space_group_name_H-M_alt 'P n m a'
_space_group_IT_number 62
loop_
_space_group_symop_operation_xyz
'x,y,z'
'-x,-y,-z'
'-x+1/2,-y,z+1/2'
'x+1/2,y,-z+1/2'
'x+1/2,-y+1/2,-z+1/2'
'-x+1/2,y+1/2,z+1/2'
'-x,y+1/2,-z'
'x,-y+1/2,z'
loop_
_atom_site_label
_atom_site_fract_x
_atom_site_fract_y
_atom_site_fract_z
Li1 0.147 0.250 0.090
Cr1 0.050 0.250 0.421
Au1 0.150 0.250 0.791
# - Calculated formation energy: -0.03 eV/atom
# - Total energy: -4.9670 eV per atom
# - Offset from the most stable computed form: 0.0 meV/atom
# - Calculated volume: 14.8 Å³/atom

Question: Among the records above, which one has the lowest calculated volume?
Answer: LiCrAu

Question: Which value of calculated volume does entry 3 give?
Answer: 29.1 Å³/atom

Question: Among the records above, which one has the lowest calculated volume?
Answer: LiCrAu